Entry 1:
The following is a PBE calculation of an optimized crystal structure of ZrTl, from the Open Quantum Materials Database.

Cell: 3.1679 5.5039 5.4577 Å, 90.00 90.00 90.00°
Closest atoms and distances in Å follow each position.
Positions (direct):
Zr1 0.2500 0.2500 0.0782  6 Tl 3.11-3.30, 6 Zr 3.17-3.29
Zr2 0.7500 0.7500 0.9218  6 Tl 3.11-3.30, 6 Zr 3.17-3.29
Tl1 0.2500 0.7500 0.4133  6 Zr 3.11-3.30, 6 Tl 3.17-3.31
Tl2 0.7500 0.2500 0.5867  6 Zr 3.11-3.30, 6 Tl 3.17-3.31

Results
calculated volume = 95.2 Å³ per cell
symmetry = Pmmn, No. 59
energy = -5.367 eV/atom
spin magnetization = 0.007 μB per atom

=====

Entry 2:
The following is a PBE calculation of an optimized crystal structure of ZrTl, from the Open Quantum Materials Database.

Cell: 5.2375 13.7876 5.2635 Å, 90.00 90.00 90.00°
Closest atoms and distances in Å follow each position.
Positions (direct):
Zr1 0.2500 0.1343 0.2458  5 Zr 3.07-3.19, 4 Tl 3.21-3.22
Zr2 0.2500 0.2500 0.7456  4 Zr 3.08, 4 Tl 3.09
Zr3 0.2500 0.3657 0.2458  5 Zr 3.07-3.19, 4 Tl 3.21-3.22
Zr4 0.2500 0.7500 0.7459  4 Zr 3.07, 4 Tl 3.10-3.11
Zr5 0.7500 0.2500 0.2541  4 Zr 3.07, 4 Tl 3.10-3.11
Zr6 0.7500 0.6343 0.7542  5 Zr 3.07-3.19, 4 Tl 3.21-3.22
Zr7 0.7500 0.7500 0.2544  4 Zr 3.08, 4 Tl 3.09
Zr8 0.7500 0.8657 0.7542  5 Zr 3.07-3.19, 4 Tl 3.21-3.22
Tl1 0.2500 0.0000 0.7453  4 Tl 3.18-3.19, 6 Zr 3.21-3.45
Tl2 0.2500 0.5000 0.7453  4 Tl 3.18-3.19, 6 Zr 3.21-3.45
Tl3 0.2500 0.6305 0.2453  4 Zr 3.09-3.11, 5 Tl 3.18-3.30
Tl4 0.2500 0.8695 0.2453  4 Zr 3.09-3.11, 5 Tl 3.18-3.30
Tl5 0.7500 0.0000 0.2547  4 Tl 3.18-3.19, 6 Zr 3.21-3.45
Tl6 0.7500 0.1305 0.7547  4 Zr 3.09-3.11, 5 Tl 3.18-3.30
Tl7 0.7500 0.3695 0.7547  4 Zr 3.09-3.11, 5 Tl 3.18-3.30
Tl8 0.7500 0.5000 0.2547  4 Tl 3.18-3.19, 6 Zr 3.21-3.45

Results
calculated volume = 380.1 Å³ per cell
symmetry = Pmmn, No. 59
energy = -5.336 eV/atom
spin magnetization = 0.002 μB per atom

=====

Entry 3:
The following is a PBE calculation of an optimized crystal structure of ZrTl, from the Open Quantum Materials Database.

Cell: 3.2151 5.4291 11.1971 Å, 90.00 90.00 90.00°
Closest atoms and distances in Å follow each position.
Positions (direct):
Zr1 0.2500 0.2500 0.0408  10 Zr 3.10-3.28, 2 Tl 3.15
Zr2 0.2500 0.7500 0.1956  6 Zr 3.10-3.22, 6 Tl 3.26-3.30
Zr3 0.7500 0.2500 0.8044  6 Zr 3.10-3.22, 6 Tl 3.26-3.30
Zr4 0.7500 0.7500 0.9592  10 Zr 3.10-3.28, 2 Tl 3.15
Tl1 0.2500 0.2500 0.5508  10 Tl 3.22-3.41, 2 Zr 3.26
Tl2 0.2500 0.7500 0.7174  6 Zr 3.15-3.30, 6 Tl 3.22-3.41
Tl3 0.7500 0.2500 0.2826  6 Zr 3.15-3.30, 6 Tl 3.22-3.41
Tl4 0.7500 0.7500 0.4492  10 Tl 3.22-3.41, 2 Zr 3.26

Results
calculated volume = 195.4 Å³ per cell
symmetry = Pmmn, No. 59
energy = -5.386 eV/atom
spin magnetization = 0.000 μB per atom

=====

Entry 4:
The following is a PBE calculation of an optimized crystal structure of ZrTl, from the Open Quantum Materials Database.

Cell: 5.3909 8.3725 8.3725 Å, 140.73 90.00 90.00°
Closest atoms and distances in Å follow each position.
Positions (direct):
Zr1 0.0000 0.0000 0.0000  4 Tl 3.09-3.27, 8 Zr 3.14-3.21
Zr2 0.0000 0.4139 0.6004  5 Zr 2.94-3.27, 3 Tl 3.17-3.23
Zr3 0.0000 0.6004 0.4139  5 Zr 2.94-3.27, 3 Tl 3.17-3.23
Zr4 0.5000 0.7441 0.9284  3 Zr 2.91-3.20, 4 Tl 3.13-3.24
Zr5 0.5000 0.9284 0.7441  3 Zr 2.91-3.20, 4 Tl 3.13-3.24
Tl1 0.0000 0.1878 0.7963  6 Zr 3.09-3.33, 6 Tl 3.21-3.42
Tl2 0.0000 0.7963 0.1878  6 Zr 3.09-3.33, 6 Tl 3.21-3.42
Tl3 0.5000 0.1626 0.5685  5 Zr 3.17-3.45, 7 Tl 3.18-3.42
Tl4 0.5000 0.3295 0.3295  10 Zr 3.13-3.27, 2 Tl 3.21
Tl5 0.5000 0.5685 0.1626  5 Zr 3.17-3.45, 7 Tl 3.18-3.42

Results
calculated volume = 239.2 Å³ per cell
symmetry = Amm2, No. 38
energy = -5.346 eV/atom
spin magnetization = 0.035 μB per atom